# 1
! CsTb2Ag3Se5 PBE-GGA optimized geometry; values from VASP
&SYSTEM
  ibrav = 0, nat = 22, ntyp = 4
/
ATOMIC_SPECIES
Cs 132.91 Cs.upf
Tb 158.93 Tb.upf
Ag 107.87 Ag.upf
Se 78.96 Se.upf
CELL_PARAMETERS angstrom
2.156 -7.775 0.000
2.156 7.775 0.000
0.000 0.000 17.537
ATOMIC_POSITIONS crystal
Cs 0.062 0.938 0.750
Cs 0.938 0.062 0.250
Tb 0.193 0.807 0.095
Tb 0.193 0.807 0.405
Tb 0.807 0.193 0.595
Tb 0.807 0.193 0.905
Ag 0.343 0.657 0.750
Ag 0.417 0.583 0.042
Ag 0.417 0.583 0.458
Ag 0.583 0.417 0.542
Ag 0.583 0.417 0.958
Ag 0.657 0.343 0.250
Se 0.182 0.818 0.570
Se 0.182 0.818 0.930
Se 0.254 0.746 0.250
Se 0.431 0.569 0.616
Se 0.431 0.569 0.884
Se 0.569 0.431 0.116
Se 0.569 0.431 0.384
Se 0.746 0.254 0.750
Se 0.818 0.182 0.070
Se 0.818 0.182 0.430
! Crystal system: orthorhombic
! Spin magnetization: 0.00 μB/f.u.
! DFT total energy: -97.04 eV per cell
! Symmetry: Cmcm

***

# 2
! Cs2TbAg2Se4 PBE-GGA optimized geometry; values from VASP
&SYSTEM
  ibrav = 0, nat = 9, ntyp = 4
/
ATOMIC_SPECIES
Cs 132.91 Cs.upf
Tb 158.93 Tb.upf
Ag 107.87 Ag.upf
Se 78.96 Se.upf
CELL_PARAMETERS angstrom
3.251 -6.978 0.000
3.251 6.978 0.000
0.000 0.000 6.518
ATOMIC_POSITIONS crystal
Cs 0.000 0.500 0.233
Cs 0.500 0.000 0.767
Tb 0.000 0.000 0.500
Ag 0.000 0.000 0.000
Ag 0.500 0.500 0.500
Se 0.147 0.355 0.751
Se 0.355 0.147 0.249
Se 0.645 0.853 0.249
Se 0.853 0.645 0.751
! Crystal system: orthorhombic
! Spin magnetization: 0.18 μB/f.u.
! DFT total energy: -34.41 eV per cell
! Symmetry: C222

***

# 3
! CsTbAg3Se4 PBE-GGA optimized geometry; values from VASP
&SYSTEM
  ibrav = 0, nat = 9, ntyp = 4
/
ATOMIC_SPECIES
Cs 132.91 Cs.upf
Tb 158.93 Tb.upf
Ag 107.87 Ag.upf
Se 78.96 Se.upf
CELL_PARAMETERS angstrom
6.796 0.000 0.000
0.000 6.796 0.000
0.000 0.000 6.796
ATOMIC_POSITIONS crystal
Cs 0.000 0.000 0.000
Tb 0.500 0.500 0.500
Ag 0.000 0.500 0.500
Ag 0.500 0.000 0.500
Ag 0.500 0.500 0.000
Se 0.275 0.275 0.275
Se 0.275 0.725 0.725
Se 0.725 0.275 0.725
Se 0.725 0.725 0.275
! Crystal system: cubic
! Spin magnetization: 0.00 μB/f.u.
! DFT total energy: -33.57 eV per cell
! Symmetry: P-43m